[1]
{
  "formula": "Be2PPb",
  "functional": "GGA-PBE",
  "state": "optimized geometry",
  "total_energy_ev_per_atom": -3.42,
  "spacegroup": "C2/m (12)",
  "mass_density_g_cm3": 6.20,
  "ef_ev_per_atom": 0.720,
  "lattice_angstrom": [[2.912, -3.185, 0.000], [2.912, 3.185, 0.000], [-1.860, 0.000, 3.701]],
  "species": ["Be", "Be", "P", "Pb"],
  "fractional_positions": [[0.000, 0.500, 0.000], [0.500, 0.000, 0.000], [0.000, 0.000, 0.500], [0.500, 0.500, 0.500]]
}


[2]
{
  "formula": "PtPbW2",
  "functional": "GGA-PBE",
  "state": "optimized geometry",
  "total_energy_ev_per_atom": -8.21,
  "spacegroup": "Cmmm (65)",
  "mass_density_g_cm3": 17.98,
  "ef_ev_per_atom": 0.700,
  "lattice_angstrom": [[2.763, -4.473, 0.000], [2.763, 4.473, 0.000], [0.000, 0.000, 2.876]],
  "species": ["Pt", "Pb", "W", "W"],
  "fractional_positions": [[0.000, 0.000, 0.000], [0.500, 0.500, 0.000], [0.000, 0.500, 0.500], [0.500, 0.000, 0.500]]
}


[3]
{
  "formula": "KZr2Cd",
  "functional": "GGA-PBE",
  "state": "optimized geometry",
  "total_energy_ev_per_atom": -4.34,
  "spacegroup": "R-3m (166)",
  "mass_density_g_cm3": 5.30,
  "ef_ev_per_atom": 0.432,
  "lattice_angstrom": [[1.566, 0.904, 12.324], [-1.566, 0.904, 12.324], [0.000, -1.808, 12.324]],
  "species": ["K", "Zr", "Zr", "Cd"],
  "fractional_positions": [[0.000, 0.000, 0.000], [0.238, 0.238, 0.238], [0.762, 0.762, 0.762], [0.500, 0.500, 0.500]]
}


[4]
{
  "formula": "TbLuPuSc",
  "functional": "GGA-PBE",
  "state": "optimized geometry",
  "total_energy_ev_per_atom": -7.29,
  "spacegroup": "F-43m (216)",
  "mass_density_g_cm3": 9.16,
  "ef_ev_per_atom": 0.161,
  "lattice_angstrom": [[0.000, 3.836, 3.836], [3.836, 0.000, 3.836], [3.836, 3.836, 0.000]],
  "species": ["Tb", "Lu", "Pu", "Sc"],
  "fractional_positions": [[0.000, 0.000, 0.000], [0.250, 0.250, 0.250], [0.500, 0.500, 0.500], [0.750, 0.750, 0.750]]
}


Repeat the second record exactly.
{
  "formula": "PtPbW2",
  "functional": "GGA-PBE",
  "state": "optimized geometry",
  "total_energy_ev_per_atom": -8.21,
  "spacegroup": "Cmmm (65)",
  "mass_density_g_cm3": 17.98,
  "ef_ev_per_atom": 0.700,
  "lattice_angstrom": [[2.763, -4.473, 0.000], [2.763, 4.473, 0.000], [0.000, 0.000, 2.876]],
  "species": ["Pt", "Pb", "W", "W"],
  "fractional_positions": [[0.000, 0.000, 0.000], [0.500, 0.500, 0.000], [0.000, 0.500, 0.500], [0.500, 0.000, 0.500]]
}